Here is crystalline Hg2OsCl at its relaxed geometry from the Alexandria database. Energies are from PBE.

- relative energy among the computed polymorphs (eV per formula unit) = 0.744
- volume (A^3/atom) = 20.21
- space-group type = No. 123
- formation energy (no corrections) (eV/atom) = 0.67

a = 3.1681 Å, b = 3.1681 Å, c = 8.0563 Å
α = 90.00°, β = 90.00°, γ = 90.00°
Fractional positions:
Hg (0.0000, 0.0000, 0.2252)
Hg (0.0000, 0.0000, 0.7748)
Os (0.5000, 0.5000, 0.0000)
Cl (0.5000, 0.5000, 0.5000)